Record 1
This record from Alexandria via LeMat-Bulk describes an optimized crystal structure of DyHgGeO4. The functional is PBE. Values from VASP.

Computed properties:
Volume, A^3/atom: 17.68
N(E_F), states/eV per atom: 0.000
Total DFT energy (no corrections), eV per atom: -6.233
E_form (uncorrected), eV per formula unit: -14.275

Quantum ESPRESSO input file:
```
&SYSTEM
  ibrav = 0, nat = 14, ntyp = 4
/
ATOMIC_SPECIES
Dy 162.50 Dy.upf
Hg 200.59 Hg.upf
Ge 72.64 Ge.upf
O 16.00 O.upf
ATOMIC_POSITIONS angstrom
Dy 1.8496 0.0000 2.4084
Dy 8.3689 0.0000 4.3488
Hg 4.5726 0.0000 0.0696
Hg 5.6459 0.0000 6.6876
Ge 0.3657 0.0000 5.1567
Ge 9.8528 0.0000 1.6005
O -0.1409 0.0000 1.6411
O 3.1808 1.7962 2.4748
O 2.4329 0.0000 0.1166
O 7.0377 1.7962 4.2824
O 3.1808 -1.7962 2.4748
O 7.7856 0.0000 6.6406
O 7.0377 -1.7962 4.2824
O 10.3594 0.0000 5.1161
CELL_PARAMETERS angstrom
5.8558 -3.1269 0.0000
5.8558 3.1269 0.0000
-1.4931 0.0000 6.7572
```

=====

Record 2
This record from Alexandria via LeMat-Bulk describes an optimized crystal structure of DyPaHgGe. The functional is PBE. Values from VASP.

Computed properties:
Volume, A^3/atom: 24.29
Formation energy, meV/atom: -217.4
N(E_F), states/eV per atom: 2.145
Total DFT energy (no corrections), eV per atom: -4.972

Quantum ESPRESSO input file:
```
&SYSTEM
  ibrav = 0, nat = 4, ntyp = 4
/
ATOMIC_SPECIES
Dy 162.50 Dy.upf
Pa 231.04 Pa.upf
Hg 200.59 Hg.upf
Ge 72.64 Ge.upf
ATOMIC_POSITIONS angstrom
Dy 0.0000 0.0000 0.0000
Pa 3.6486 3.6486 3.6486
Hg 5.4729 5.4729 5.4729
Ge 1.8243 1.8243 1.8243
CELL_PARAMETERS angstrom
0.0000 3.6486 3.6486
3.6486 0.0000 3.6486
3.6486 3.6486 0.0000
```

=====

Record 3
This record from Alexandria via LeMat-Bulk describes an optimized crystal structure of Dy2Hg2GePd4. The functional is PBE. Values from VASP.

Computed properties:
Volume, A^3/atom: 21.40
Formation energy, meV/atom: -356.2
N(E_F), states/eV per atom: 0.423
Total DFT energy (no corrections), eV per atom: -4.267

Quantum ESPRESSO input file:
```
&SYSTEM
  ibrav = 0, nat = 9, ntyp = 4
/
ATOMIC_SPECIES
Dy 162.50 Dy.upf
Hg 200.59 Hg.upf
Ge 72.64 Ge.upf
Pd 106.42 Pd.upf
ATOMIC_POSITIONS angstrom
Dy 0.0000 0.0000 1.9737
Dy 0.0000 0.0000 7.6649
Hg 3.1608 0.0000 2.4097
Hg 0.0000 3.1608 2.4097
Ge 0.0000 0.0000 4.8193
Pd 1.4379 1.4379 0.0000
Pd 1.7229 -1.7229 4.8193
Pd -1.7229 1.7229 4.8193
Pd 1.7229 1.7229 4.8193
CELL_PARAMETERS angstrom
-3.1608 3.1608 4.8193
3.1608 -3.1608 4.8193
3.1608 3.1608 -4.8193
```

=====

Record 4
This record from Alexandria via LeMat-Bulk describes an optimized crystal structure of PmDyHgGe. The functional is PBE. Values from VASP.

Computed properties:
Volume, A^3/atom: 25.06
Formation energy, meV/atom: -559.6
N(E_F), states/eV per atom: 0.881
Total DFT energy (no corrections), eV per atom: -4.128

Quantum ESPRESSO input file:
```
&SYSTEM
  ibrav = 0, nat = 4, ntyp = 4
/
ATOMIC_SPECIES
Pm 145.00 Pm.upf
Dy 162.50 Dy.upf
Hg 200.59 Hg.upf
Ge 72.64 Ge.upf
ATOMIC_POSITIONS angstrom
Pm 0.0000 0.0000 0.0000
Dy 3.6870 3.6870 3.6870
Hg 5.5306 5.5306 5.5306
Ge 1.8435 1.8435 1.8435
CELL_PARAMETERS angstrom
0.0000 3.6870 3.6870
3.6870 0.0000 3.6870
3.6870 3.6870 0.0000
```

=====

Record 5
This record from Alexandria via LeMat-Bulk describes an optimized crystal structure of PrDyHgGe. The functional is PBE. Values from VASP.

Computed properties:
Volume, A^3/atom: 25.63
Formation energy, meV/atom: -550.7
N(E_F), states/eV per atom: 0.858
Total DFT energy (no corrections), eV per atom: -4.126

Quantum ESPRESSO input file:
```
&SYSTEM
  ibrav = 0, nat = 4, ntyp = 4
/
ATOMIC_SPECIES
Pr 140.91 Pr.upf
Dy 162.50 Dy.upf
Hg 200.59 Hg.upf
Ge 72.64 Ge.upf
ATOMIC_POSITIONS angstrom
Pr 0.0000 0.0000 0.0000
Dy 3.7147 3.7147 3.7147
Hg 1.8573 1.8573 1.8573
Ge 5.5720 5.5720 5.5720
CELL_PARAMETERS angstrom
0.0000 3.7147 3.7147
3.7147 0.0000 3.7147
3.7147 3.7147 0.0000
```

=====

Record 6
This record from Alexandria via LeMat-Bulk describes an optimized crystal structure of DyPuHgGe. The functional is PBE. Values from VASP.

Computed properties:
Volume, A^3/atom: 24.61
Formation energy, meV/atom: -390.8
N(E_F), states/eV per atom: 2.520
Total DFT energy (no corrections), eV per atom: -6.354

Quantum ESPRESSO input file:
```
&SYSTEM
  ibrav = 0, nat = 4, ntyp = 4
/
ATOMIC_SPECIES
Dy 162.50 Dy.upf
Pu 244.00 Pu.upf
Hg 200.59 Hg.upf
Ge 72.64 Ge.upf
ATOMIC_POSITIONS angstrom
Dy 0.0000 0.0000 0.0000
Pu 3.6650 3.6650 3.6650
Hg 5.4974 5.4974 5.4974
Ge 1.8325 1.8325 1.8325
CELL_PARAMETERS angstrom
0.0000 3.6650 3.6650
3.6650 0.0000 3.6650
3.6650 3.6650 0.0000
```

=====

Record 7
This record from Alexandria via LeMat-Bulk describes an optimized crystal structure of Dy2HgGe2Rh5. The functional is PBE. Values from VASP.

Computed properties:
Volume, A^3/atom: 17.45
Formation energy, meV/atom: -733.4
N(E_F), states/eV per atom: 0.120
Total DFT energy (no corrections), eV per atom: -6.283

Quantum ESPRESSO input file:
```
&SYSTEM
  ibrav = 0, nat = 20, ntyp = 4
/
ATOMIC_SPECIES
Dy 162.50 Dy.upf
Hg 200.59 Hg.upf
Ge 72.64 Ge.upf
Rh 102.91 Rh.upf
ATOMIC_POSITIONS angstrom
Dy 1.7091 3.1908 0.0000
Dy 3.1908 8.0907 0.0000
Dy 6.6090 1.7091 0.0000
Dy 8.0907 6.6090 0.0000
Hg 0.0000 0.0000 0.0000
Hg 4.8999 4.8999 0.0000
Ge 1.2165 6.1163 0.0000
Ge 3.6834 1.2165 0.0000
Ge 6.1163 8.5833 0.0000
Ge 8.5833 3.6834 0.0000
Rh 0.0000 4.8999 1.8174
Rh 0.6717 7.7176 1.8174
Rh 2.0822 0.6717 1.8174
Rh 2.8177 5.5716 1.8174
Rh 4.2281 2.8177 1.8174
Rh 4.8999 0.0000 1.8174
Rh 5.5716 6.9820 1.8174
Rh 6.9820 4.2281 1.8174
Rh 7.7176 9.1280 1.8174
Rh 9.1280 2.0822 1.8174
CELL_PARAMETERS angstrom
9.7998 0.0000 0.0000
0.0000 9.7998 0.0000
0.0000 0.0000 3.6348
```

=====

Record 8
This record from Alexandria via LeMat-Bulk describes an optimized crystal structure of DyScHgGe. The functional is PBE. Values from VASP.

Computed properties:
Volume, A^3/atom: 22.37
Formation energy, meV/atom: -516.5
N(E_F), states/eV per atom: 0.912
Total DFT energy (no corrections), eV per atom: -4.480

Quantum ESPRESSO input file:
```
&SYSTEM
  ibrav = 0, nat = 4, ntyp = 4
/
ATOMIC_SPECIES
Dy 162.50 Dy.upf
Sc 44.96 Sc.upf
Hg 200.59 Hg.upf
Ge 72.64 Ge.upf
ATOMIC_POSITIONS angstrom
Dy 0.0000 0.0000 0.0000
Sc 3.5500 3.5500 3.5500
Hg 1.7750 1.7750 1.7750
Ge 5.3251 5.3251 5.3251
CELL_PARAMETERS angstrom
0.0000 3.5500 3.5500
3.5500 0.0000 3.5500
3.5500 3.5500 0.0000
```

=====

Which value of total DFT energy (no corrections) does entry 2 give? -4.972 eV per atom